(1)
Material: CrTcMo
Method: DFT, PBE-GGA
State: optimized geometry

```
CrTcMo
1.0
-1.015 -4.650 2.043
-0.753 -1.633 -4.087
7.176 -1.827 -0.592
Cr Tc Mo
4 4 4
direct
0.326 0.000 0.339
0.826 0.500 0.161
0.674 0.000 0.661
0.174 0.500 0.839
0.185 0.000 0.662
0.685 0.500 0.838
0.815 0.000 0.338
0.315 0.500 0.162
0.000 0.000 0.000
0.500 0.500 0.500
0.000 0.500 0.500
0.500 0.000 0.000
```

## Properties
Space-group type: Pnnm, No. 58
ΔE to the lowest computed polymorph (eV/atom): 0.126
ΔE_f (eV per atom): 0.201

(2)
Material: CrTc2Mo
Method: DFT, PBE-GGA
State: optimized geometry

```
CrTc2Mo
1.0
-1.521 0.557 -3.951
-2.355 -1.046 0.760
-2.497 4.162 1.548
Cr Mo Tc
1 1 2
direct
0.000 0.529 0.496
0.500 0.734 0.744
0.000 0.961 0.001
0.500 0.276 0.259
```

## Properties
Space-group type: Pm, No. 6
ΔE_f (eV per atom): 0.122

Which formula does entry 1 have?
CrTcMo